# 1
An optimized crystal structure of KPH2Cl8. Source: Alexandria, functional GGA-PBE.

Structure (POSCAR):
```
KPH2Cl8
1.0
6.4080 0.0000 0.0000
2.6458 6.5444 0.0000
1.4226 1.3934 8.4065
K P H Cl
1 1 2 8
direct
0.0000 0.0000 0.0000
0.0000 0.0000 0.5000
0.4609 0.7387 0.2513
0.5391 0.2613 0.7487
0.0755 0.1895 0.6349
0.0841 0.1871 0.2819
0.3490 0.7906 0.4990
0.4752 0.2900 0.8973
0.5248 0.7100 0.1027
0.6510 0.2094 0.5010
0.9159 0.8129 0.7181
0.9245 0.8105 0.3651
```

Results
Space group: P-1 (2)
Crystal system: triclinic

# 2
An optimized crystal structure of SrZrCd2. Source: Alexandria, functional GGA-PBE.

Structure (POSCAR):
```
SrZrCd2
1.0
3.3940 0.0000 0.0000
0.0000 3.3940 0.0000
0.0000 0.0000 9.3589
Sr Zr Cd
1 1 2
direct
0.0000 0.0000 0.0000
0.5000 0.5000 0.3066
0.0000 0.0000 0.5116
0.5000 0.5000 0.7238
```

Results
Space group: P4mm (99)
DFT formation energy (eV/atom): 0.086
Crystal system: tetragonal

# 3
An optimized crystal structure of HoTm4Ag2. Source: Alexandria, functional GGA-PBE.

Structure (POSCAR):
```
HoTm4Ag2
1.0
2.4708 1.4265 9.9271
-2.4708 1.4265 9.9271
0.0000 -2.8530 9.9271
Ho Tm Ag
1 4 2
direct
0.0000 0.0000 0.0000
0.2020 0.2020 0.2020
0.3975 0.3975 0.3975
0.6025 0.6025 0.6025
0.7980 0.7980 0.7980
0.1011 0.1011 0.1011
0.8989 0.8989 0.8989
```

Results
Space group: R-3m (166)
DFT formation energy (eV/atom): 0.158
Crystal system: trigonal

# 4
An optimized crystal structure of TbPmThAl. Source: Alexandria, functional GGA-PBE.

Structure (POSCAR):
```
TbPmThAl
1.0
7.6732 0.0000 0.0000
0.0000 7.6732 0.0000
0.0000 0.0000 7.6732
Tb Pm Th Al
4 4 4 4
direct
0.0000 0.0000 0.0000
0.0000 0.5000 0.5000
0.5000 0.0000 0.5000
0.5000 0.5000 0.0000
0.2500 0.2500 0.2500
0.2500 0.7500 0.7500
0.7500 0.2500 0.7500
0.7500 0.7500 0.2500
0.0000 0.0000 0.5000
0.0000 0.5000 0.0000
0.5000 0.0000 0.0000
0.5000 0.5000 0.5000
0.2500 0.2500 0.7500
0.2500 0.7500 0.2500
0.7500 0.2500 0.2500
0.7500 0.7500 0.7500
```

Results
Space group: F-43m (216)
DFT formation energy (eV/atom): 0.009
Crystal system: cubic

# 5
An optimized crystal structure of Ta2MoPb. Source: Alexandria, functional GGA-PBE.

Structure (POSCAR):
```
Ta2MoPb
1.0
2.9234 0.0000 0.0000
0.0000 2.9234 0.0000
0.0000 0.0000 9.1753
Ta Mo Pb
2 1 1
direct
0.0000 0.0000 0.2293
0.0000 0.0000 0.7707
0.5000 0.5000 0.0000
0.5000 0.5000 0.5000
```

Results
Space group: P4/mmm (123)
DFT formation energy (eV/atom): 0.579
Crystal system: tetragonal

# 6
An optimized crystal structure of TiAlSe3. Source: Alexandria, functional GGA-PBE.

Structure (POSCAR):
```
TiAlSe3
1.0
1.8459 -11.1657 0.0000
1.8459 11.1657 0.0000
0.0000 0.0000 6.6215
Ti Al Se
2 2 6
direct
0.1147 0.8853 0.5000
0.8853 0.1147 0.0000
0.3482 0.6518 0.3912
0.6518 0.3482 0.8912
0.1284 0.8716 0.1405
0.2072 0.7928 0.6937
0.4402 0.5598 0.1661
0.5598 0.4402 0.6661
0.7928 0.2072 0.1937
0.8716 0.1284 0.6405
```

Results
E_form (uncorrected) (eV/atom): -0.792
Space group: Cmc2_1 (36)
Polymorph energy (0 for the lowest one) (meV per atom): 0
Crystal system: orthorhombic

# 7
An optimized crystal structure of PmPr5Tm. Source: Alexandria, functional GGA-PBE.

Structure (POSCAR):
```
PmPr5Tm
1.0
13.5905 0.0000 0.0000
0.0000 8.8444 0.0000
-2.5939 0.0000 5.3619
Pm Pr Tm
2 10 2
direct
0.0000 0.0000 0.0000
0.5000 0.5000 0.0000
0.0000 0.0000 0.5000
0.0000 0.3244 0.0000
0.0000 0.6756 0.0000
0.2492 0.0000 0.2487
0.2508 0.5000 0.7513
0.5000 0.1756 0.0000
0.5000 0.5000 0.5000
0.5000 0.8244 0.0000
0.7492 0.5000 0.2487
0.7508 0.0000 0.7513
0.0000 0.5000 0.5000
0.5000 0.0000 0.5000
```

Results
Space group: C2/m (12)
DFT formation energy (eV/atom): 0.941
Crystal system: monoclinic

# 8
An optimized crystal structure of ReTc2C. Source: Alexandria, functional GGA-PBE.

Structure (POSCAR):
```
ReTc2C
1.0
2.8401 0.0000 0.0000
-1.4201 2.4596 0.0000
0.0000 0.0000 21.5407
Re Tc C
3 6 3
direct
0.0000 0.0000 0.0000
0.3333 0.6667 0.6667
0.6667 0.3333 0.3333
0.0000 0.0000 0.2284
0.0000 0.0000 0.7716
0.3333 0.6667 0.4382
0.3333 0.6667 0.8951
0.6667 0.3333 0.1049
0.6667 0.3333 0.5618
0.0000 0.0000 0.5000
0.3333 0.6667 0.1667
0.6667 0.3333 0.8333
```

Results
Space group: R-3m (166)
DFT formation energy (eV/atom): 0.237
Crystal system: trigonal

# 9
An optimized crystal structure of Ca2Al6Au9. Source: Alexandria, functional GGA-PBE.

Structure (POSCAR):
```
Ca2Al6Au9
1.0
5.8429 0.0000 0.0000
-2.9215 5.0601 0.0000
0.0000 0.0000 12.2098
Ca Al Au
2 6 9
direct
0.0000 0.0000 0.1811
0.0000 0.0000 0.8189
0.3333 0.6667 0.1659
0.3333 0.6667 0.5000
0.3333 0.6667 0.8341
0.6667 0.3333 0.1659
0.6667 0.3333 0.5000
0.6667 0.3333 0.8341
0.0000 0.5000 0.0000
0.0000 0.5000 0.3324
0.0000 0.5000 0.6676
0.5000 0.0000 0.0000
0.5000 0.0000 0.3324
0.5000 0.0000 0.6676
0.5000 0.5000 0.0000
0.5000 0.5000 0.3324
0.5000 0.5000 0.6676
```

Results
Space group: P6/mmm (191)
DFT formation energy (eV/atom): -0.425
Crystal system: hexagonal

# 10
An optimized crystal structure of Rb3NaP2O6. Source: Alexandria, functional GGA-PBE.

Structure (POSCAR):
```
Rb3NaP2O6
1.0
6.0660 0.0000 0.0000
-3.0330 5.2533 0.0000
0.0000 0.0000 7.3743
Rb Na P O
3 1 2 6
direct
0.0000 0.0000 0.0000
0.3333 0.6667 0.6862
0.6667 0.3333 0.3138
0.0000 0.0000 0.5000
0.3333 0.6667 0.2354
0.6667 0.3333 0.7646
0.1912 0.3823 0.2923
0.1912 0.8088 0.2923
0.3823 0.1912 0.7077
0.6177 0.8088 0.2923
0.8088 0.1912 0.7077
0.8088 0.6177 0.7077
```

Results
E_form (uncorrected) (eV/atom): -1.928
Space group: P-3m1 (164)
Crystal system: trigonal

# 11
An optimized crystal structure of Th2ScC. Source: Alexandria, functional GGA-PBE.

Structure (POSCAR):
```
Th2ScC
1.0
3.5166 0.0000 0.0000
-1.7583 3.0454 0.0000
0.0000 0.0000 28.7033
Th Sc C
6 3 3
direct
0.0000 0.0000 0.1139
0.0000 0.0000 0.8861
0.3333 0.6667 0.5527
0.3333 0.6667 0.7806
0.6667 0.3333 0.2194
0.6667 0.3333 0.4473
0.0000 0.0000 0.0000
0.3333 0.6667 0.6667
0.6667 0.3333 0.3333
0.0000 0.0000 0.5000
0.3333 0.6667 0.1667
0.6667 0.3333 0.8333
```

Results
Space group: R-3m (166)
DFT formation energy (eV/atom): 0.053
Polymorph energy (0 for the lowest one) (meV per atom): 224
Crystal system: trigonal

# 12
An optimized crystal structure of LiPd4Pb7. Source: Alexandria, functional GGA-PBE.

Structure (POSCAR):
```
LiPd4Pb7
1.0
6.9462 -2.6139 0.0000
6.9462 2.6139 0.0000
-5.9065 0.0000 8.0950
Li Pd Pb
1 4 7
direct
0.0000 0.0000 0.0000
0.3077 0.3077 0.6700
0.4410 0.4410 0.2269
0.5590 0.5590 0.7731
0.6923 0.6923 0.3300
0.0747 0.0747 0.3572
0.2161 0.2161 0.8736
0.3303 0.3303 0.3889
0.5000 0.5000 0.0000
0.6697 0.6697 0.6111
0.7839 0.7839 0.1264
0.9253 0.9253 0.6428
```

Results
Space group: C2/m (12)
DFT formation energy (eV/atom): -0.108
Crystal system: monoclinic

For reference, total DFT energy (no corrections) by record: -3.09, -2.93, -3.87, -5.13, -8.98, -5.21, -3.79, -10.36, -3.72, -5.66, -7.55, -4.16 eV per atom.
For reference, total magnetic moment by record: 0.00, 0.00, 0.00, 0.00, 0.00, 0.00, 0.00, 0.00, 0.00, 0.17, 0.00, 0.00 μB per atom.
For reference, volume by record: 29.378, 26.951, 29.991, 28.236, 19.604, 27.295, 46.036, 12.540, 21.235, 19.583, 25.617, 24.496 A^3/atom.